[1]
# PBE NdTm3Tl2, optimized geometry
data_NdTm3Tl2
_cell_length_a 8.597
_cell_length_b 8.597
_cell_length_c 9.243
_cell_angle_alpha 117.74
_cell_angle_beta 117.74
_cell_angle_gamma 36.40
_space_group_name_H-M_alt 'P 1'
_space_group_IT_number 1
_space_group_name_Hall 'P 1'
loop_
_atom_site_label
_atom_site_type_symbol
_atom_site_fract_x
_atom_site_fract_y
_atom_site_fract_z
_atom_site_occupancy
Nd1 Nd 0.132 0.132 0.172 1
Nd2 Nd 0.868 0.868 0.828 1
Tm1 Tm 0.060 0.060 0.714 1
Tm2 Tm 0.307 0.307 0.013 1
Tm3 Tm 0.386 0.386 0.460 1
Tm4 Tm 0.614 0.614 0.540 1
Tm5 Tm 0.693 0.693 0.987 1
Tm6 Tm 0.940 0.940 0.286 1
Tl1 Tl 0.221 0.221 0.596 1
Tl2 Tl 0.482 0.482 0.827 1
Tl3 Tl 0.518 0.518 0.173 1
Tl4 Tl 0.779 0.779 0.404 1
# Volume (Å³ per atom): 29.5
# Space group: C2/m, No. 12
# Energy above the lowest structure with this stoichiometry (meV/atom): 90
# Formation enthalpy at 0 K (eV/atom): -0.166
# Crystal system: monoclinic



[2]
# PBE Nd3Tm6Tl, optimized geometry
data_Nd3Tm6Tl
_cell_length_a 12.925
_cell_length_b 3.554
_cell_length_c 14.390
_cell_angle_alpha 90.00
_cell_angle_beta 108.67
_cell_angle_gamma 90.00
_space_group_name_H-M_alt 'P 1'
_space_group_IT_number 1
_space_group_name_Hall 'P 1'
loop_
_atom_site_label
_atom_site_type_symbol
_atom_site_fract_x
_atom_site_fract_y
_atom_site_fract_z
_atom_site_occupancy
Nd1 Nd 0.010 0.250 0.395 1
Nd2 Nd 0.378 0.250 0.002 1
Nd3 Nd 0.467 0.250 0.594 1
Nd4 Nd 0.533 0.750 0.406 1
Nd5 Nd 0.622 0.750 0.998 1
Nd6 Nd 0.990 0.750 0.605 1
Tm1 Tm 0.138 0.750 0.022 1
Tm2 Tm 0.146 0.250 0.811 1
Tm3 Tm 0.217 0.250 0.600 1
Tm4 Tm 0.252 0.750 0.397 1
Tm5 Tm 0.328 0.250 0.219 1
Tm6 Tm 0.382 0.750 0.789 1
Tm7 Tm 0.618 0.250 0.211 1
Tm8 Tm 0.672 0.750 0.781 1
Tm9 Tm 0.748 0.250 0.603 1
Tm10 Tm 0.783 0.750 0.400 1
Tm11 Tm 0.854 0.750 0.189 1
Tm12 Tm 0.862 0.250 0.978 1
Tl1 Tl 0.075 0.250 0.191 1
Tl2 Tl 0.925 0.750 0.809 1
# Volume (Å³ per atom): 31.3
# Space group: P2_1/m, No. 11
# Energy above the lowest structure with this stoichiometry (meV/atom): 0
# Formation enthalpy at 0 K (eV/atom): 0.000
# Crystal system: monoclinic



[3]
# PBE Nd3Tm2Tl6, optimized geometry
data_Nd3Tm2Tl6
_cell_length_a 14.888
_cell_length_b 14.888
_cell_length_c 14.888
_cell_angle_alpha 161.29
_cell_angle_beta 161.29
_cell_angle_gamma 26.58
_space_group_name_H-M_alt 'P 1'
_space_group_IT_number 1
_space_group_name_Hall 'P 1'
loop_
_atom_site_label
_atom_site_type_symbol
_atom_site_fract_x
_atom_site_fract_y
_atom_site_fract_z
_atom_site_occupancy
Nd1 Nd 0.000 0.000 0.000 1
Nd2 Nd 0.198 0.198 0.000 1
Nd3 Nd 0.802 0.802 0.000 1
Tm1 Tm 0.446 0.446 0.000 1
Tm2 Tm 0.554 0.554 0.000 1
Tl1 Tl 0.116 0.616 0.500 1
Tl2 Tl 0.307 0.307 0.000 1
Tl3 Tl 0.384 0.884 0.500 1
Tl4 Tl 0.616 0.116 0.500 1
Tl5 Tl 0.693 0.693 0.000 1
Tl6 Tl 0.884 0.384 0.500 1
# Volume (Å³ per atom): 30.9
# Space group: I4/mmm, No. 139
# Formation enthalpy at 0 K (eV/atom): -0.113
# Crystal system: tetragonal



[4]
# PBE Nd4Tm3Tl2, optimized geometry
data_Nd4Tm3Tl2
_cell_length_a 9.497
_cell_length_b 9.497
_cell_length_c 6.654
_cell_angle_alpha 103.75
_cell_angle_beta 103.75
_cell_angle_gamma 83.89
_space_group_name_H-M_alt 'P 1'
_space_group_IT_number 1
_space_group_name_Hall 'P 1'
loop_
_atom_site_label
_atom_site_type_symbol
_atom_site_fract_x
_atom_site_fract_y
_atom_site_fract_z
_atom_site_occupancy
Nd1 Nd 0.123 0.490 0.330 1
Nd2 Nd 0.167 0.723 0.976 1
Nd3 Nd 0.277 0.833 0.524 1
Nd4 Nd 0.490 0.123 0.830 1
Nd5 Nd 0.510 0.877 0.170 1
Nd6 Nd 0.723 0.167 0.476 1
Nd7 Nd 0.833 0.277 0.024 1
Nd8 Nd 0.877 0.510 0.670 1
Tm1 Tm 0.086 0.154 0.447 1
Tm2 Tm 0.154 0.086 0.947 1
Tm3 Tm 0.492 0.508 0.250 1
Tm4 Tm 0.508 0.492 0.750 1
Tm5 Tm 0.846 0.914 0.053 1
Tm6 Tm 0.914 0.846 0.553 1
Tl1 Tl 0.221 0.381 0.849 1
Tl2 Tl 0.381 0.221 0.349 1
Tl3 Tl 0.619 0.779 0.651 1
Tl4 Tl 0.779 0.619 0.151 1
# Volume (Å³ per atom): 31.4
# Space group: C2/c, No. 15
# Formation enthalpy at 0 K (eV/atom): -0.100
# Crystal system: monoclinic



[5]
# PBE Nd6Tm3Tl, optimized geometry
data_Nd6Tm3Tl
_cell_length_a 12.411
_cell_length_b 3.624
_cell_length_c 14.848
_cell_angle_alpha 90.00
_cell_angle_beta 93.94
_cell_angle_gamma 90.00
_space_group_name_H-M_alt 'P 1'
_space_group_IT_number 1
_space_group_name_Hall 'P 1'
loop_
_atom_site_label
_atom_site_type_symbol
_atom_site_fract_x
_atom_site_fract_y
_atom_site_fract_z
_atom_site_occupancy
Nd1 Nd 0.063 0.250 0.390 1
Nd2 Nd 0.120 0.750 0.953 1
Nd3 Nd 0.203 0.250 0.753 1
Nd4 Nd 0.295 0.750 0.312 1
Nd5 Nd 0.310 0.250 0.107 1
Nd6 Nd 0.388 0.250 0.499 1
Nd7 Nd 0.612 0.750 0.501 1
Nd8 Nd 0.690 0.750 0.893 1
Nd9 Nd 0.705 0.250 0.688 1
Nd10 Nd 0.797 0.750 0.247 1
Nd11 Nd 0.880 0.250 0.047 1
Nd12 Nd 0.937 0.750 0.610 1
Tm1 Tm 0.073 0.750 0.181 1
Tm2 Tm 0.400 0.750 0.920 1
Tm3 Tm 0.450 0.750 0.699 1
Tm4 Tm 0.550 0.250 0.301 1
Tm5 Tm 0.600 0.250 0.080 1
Tm6 Tm 0.927 0.250 0.819 1
Tl1 Tl 0.189 0.750 0.559 1
Tl2 Tl 0.811 0.250 0.441 1
# Volume (Å³ per atom): 33.3
# Space group: P2_1/m, No. 11
# Formation enthalpy at 0 K (eV/atom): 0.025
# Crystal system: monoclinic



[6]
# PBE Nd7Tm12Tl, optimized geometry
data_Nd7Tm12Tl
_cell_length_a 8.701
_cell_length_b 8.705
_cell_length_c 8.710
_cell_angle_alpha 89.31
_cell_angle_beta 89.45
_cell_angle_gamma 89.37
_space_group_name_H-M_alt 'P 1'
_space_group_IT_number 1
_space_group_name_Hall 'P 1'
loop_
_atom_site_label
_atom_site_type_symbol
_atom_site_fract_x
_atom_site_fract_y
_atom_site_fract_z
_atom_site_occupancy
Nd1 Nd 0.000 0.000 0.000 1
Nd2 Nd 0.123 0.716 0.270 1
Nd3 Nd 0.269 0.122 0.717 1
Nd4 Nd 0.283 0.731 0.878 1
Nd5 Nd 0.717 0.269 0.122 1
Nd6 Nd 0.731 0.878 0.283 1
Nd7 Nd 0.877 0.284 0.730 1
Tm1 Tm 0.039 0.160 0.378 1
Tm2 Tm 0.160 0.379 0.039 1
Tm3 Tm 0.165 0.494 0.610 1
Tm4 Tm 0.378 0.039 0.159 1
Tm5 Tm 0.391 0.835 0.506 1
Tm6 Tm 0.495 0.609 0.165 1
Tm7 Tm 0.505 0.391 0.835 1
Tm8 Tm 0.609 0.165 0.494 1
Tm9 Tm 0.622 0.961 0.841 1
Tm10 Tm 0.835 0.506 0.390 1
Tm11 Tm 0.840 0.621 0.961 1
Tm12 Tm 0.961 0.840 0.622 1
Tl1 Tl 0.500 0.500 0.500 1
# Volume (Å³ per atom): 33.0
# Space group: P-1, No. 2
# Formation enthalpy at 0 K (eV/atom): 0.177
# Crystal system: triclinic



[7]
# PBE NdTm5Tl6, optimized geometry
data_NdTm5Tl6
_cell_length_a 7.470
_cell_length_b 7.470
_cell_length_c 6.423
_cell_angle_alpha 98.48
_cell_angle_beta 98.48
_cell_angle_gamma 97.12
_space_group_name_H-M_alt 'P 1'
_space_group_IT_number 1
_space_group_name_Hall 'P 1'
loop_
_atom_site_label
_atom_site_type_symbol
_atom_site_fract_x
_atom_site_fract_y
_atom_site_fract_z
_atom_site_occupancy
Nd1 Nd 0.000 0.000 0.000 1
Tm1 Tm 0.167 0.833 0.500 1
Tm2 Tm 0.337 0.663 0.000 1
Tm3 Tm 0.500 0.500 0.500 1
Tm4 Tm 0.663 0.337 0.000 1
Tm5 Tm 0.833 0.167 0.500 1
Tl1 Tl 0.082 0.425 0.255 1
Tl2 Tl 0.252 0.252 0.738 1
Tl3 Tl 0.425 0.082 0.255 1
Tl4 Tl 0.575 0.918 0.745 1
Tl5 Tl 0.748 0.748 0.262 1
Tl6 Tl 0.918 0.575 0.745 1
# Volume (Å³ per atom): 28.9
# Space group: C2/m, No. 12
# Energy above the lowest structure with this stoichiometry (meV/atom): 72
# Formation enthalpy at 0 K (eV/atom): -0.233
# Crystal system: monoclinic



[8]
# PBE Nd2TmTl2, optimized geometry
data_Nd2TmTl2
_cell_length_a 6.225
_cell_length_b 6.225
_cell_length_c 6.225
_cell_angle_alpha 133.76
_cell_angle_beta 112.34
_cell_angle_gamma 85.88
_space_group_name_H-M_alt 'P 1'
_space_group_IT_number 1
_space_group_name_Hall 'P 1'
loop_
_atom_site_label
_atom_site_type_symbol
_atom_site_fract_x
_atom_site_fract_y
_atom_site_fract_z
_atom_site_occupancy
Nd1 Nd 0.194 0.194 0.000 1
Nd2 Nd 0.806 0.806 0.000 1
Tm1 Tm 0.500 0.000 0.500 1
Tl1 Tl 0.222 0.500 0.722 1
Tl2 Tl 0.778 0.500 0.278 1
# Volume (Å³ per atom): 30.9
# Space group: Immm, No. 71
# Energy above the lowest structure with this stoichiometry (meV/atom): 37
# Formation enthalpy at 0 K (eV/atom): -0.277
# Crystal system: orthorhombic



[9]
# PBE Nd8TmTl6, optimized geometry
data_Nd8TmTl6
_cell_length_a 8.552
_cell_length_b 8.552
_cell_length_c 8.552
_cell_angle_alpha 66.07
_cell_angle_beta 66.07
_cell_angle_gamma 66.07
_space_group_name_H-M_alt 'P 1'
_space_group_IT_number 1
_space_group_name_Hall 'P 1'
loop_
_atom_site_label
_atom_site_type_symbol
_atom_site_fract_x
_atom_site_fract_y
_atom_site_fract_z
_atom_site_occupancy
Nd1 Nd 0.052 0.725 0.389 1
Nd2 Nd 0.165 0.165 0.165 1
Nd3 Nd 0.275 0.611 0.948 1
Nd4 Nd 0.389 0.052 0.725 1
Nd5 Nd 0.611 0.948 0.275 1
Nd6 Nd 0.725 0.389 0.052 1
Nd7 Nd 0.835 0.835 0.835 1
Nd8 Nd 0.948 0.275 0.611 1
Tm1 Tm 0.500 0.500 0.500 1
Tl1 Tl 0.117 0.442 0.766 1
Tl2 Tl 0.234 0.883 0.558 1
Tl3 Tl 0.442 0.766 0.117 1
Tl4 Tl 0.558 0.234 0.883 1
Tl5 Tl 0.766 0.117 0.442 1
Tl6 Tl 0.883 0.558 0.234 1
# Volume (Å³ per atom): 33.4
# Space group: R-3, No. 148
# Formation enthalpy at 0 K (eV/atom): -0.162
# Crystal system: trigonal



[10]
# PBE Nd6Tm2Tl3, optimized geometry
data_Nd6Tm2Tl3
_cell_length_a 12.782
_cell_length_b 12.782
_cell_length_c 12.782
_cell_angle_alpha 154.95
_cell_angle_beta 154.95
_cell_angle_gamma 35.72
_space_group_name_H-M_alt 'P 1'
_space_group_IT_number 1
_space_group_name_Hall 'P 1'
loop_
_atom_site_label
_atom_site_type_symbol
_atom_site_fract_x
_atom_site_fract_y
_atom_site_fract_z
_atom_site_occupancy
Nd1 Nd 0.098 0.598 0.500 1
Nd2 Nd 0.198 0.198 0.000 1
Nd3 Nd 0.402 0.902 0.500 1
Nd4 Nd 0.598 0.098 0.500 1
Nd5 Nd 0.802 0.802 0.000 1
Nd6 Nd 0.902 0.402 0.500 1
Tm1 Tm 0.059 0.059 0.000 1
Tm2 Tm 0.941 0.941 0.000 1
Tl1 Tl 0.328 0.328 0.000 1
Tl2 Tl 0.500 0.500 0.000 1
Tl3 Tl 0.672 0.672 0.000 1
# Volume (Å³ per atom): 34.0
# Space group: I4/mmm, No. 139
# Formation enthalpy at 0 K (eV/atom): 0.226
# Crystal system: tetragonal



[11]
# PBE Nd15TmTl4, optimized geometry
data_Nd15TmTl4
_cell_length_a 4.992
_cell_length_b 4.992
_cell_length_c 25.491
_cell_angle_alpha 90.00
_cell_angle_beta 90.00
_cell_angle_gamma 90.00
_space_group_name_H-M_alt 'P 1'
_space_group_IT_number 1
_space_group_name_Hall 'P 1'
loop_
_atom_site_label
_atom_site_type_symbol
_atom_site_fract_x
_atom_site_fract_y
_atom_site_fract_z
_atom_site_occupancy
Nd1 Nd 0.000 0.000 0.000 1
Nd2 Nd 0.000 0.000 0.203 1
Nd3 Nd 0.000 0.000 0.401 1
Nd4 Nd 0.000 0.000 0.599 1
Nd5 Nd 0.000 0.000 0.797 1
Nd6 Nd 0.000 0.500 0.104 1
Nd7 Nd 0.000 0.500 0.302 1
Nd8 Nd 0.000 0.500 0.500 1
Nd9 Nd 0.000 0.500 0.698 1
Nd10 Nd 0.000 0.500 0.896 1
Nd11 Nd 0.500 0.000 0.104 1
Nd12 Nd 0.500 0.000 0.302 1
Nd13 Nd 0.500 0.000 0.500 1
Nd14 Nd 0.500 0.000 0.698 1
Nd15 Nd 0.500 0.000 0.896 1
Tm1 Tm 0.500 0.500 0.000 1
Tl1 Tl 0.500 0.500 0.205 1
Tl2 Tl 0.500 0.500 0.401 1
Tl3 Tl 0.500 0.500 0.599 1
Tl4 Tl 0.500 0.500 0.795 1
# Volume (Å³ per atom): 31.8
# Space group: P4/mmm, No. 123
# Formation enthalpy at 0 K (eV/atom): -0.157
# Crystal system: tetragonal



[12]
# PBE Nd3Tm4Tl4, optimized geometry
data_Nd3Tm4Tl4
_cell_length_a 9.737
_cell_length_b 9.737
_cell_length_c 9.737
_cell_angle_alpha 152.48
_cell_angle_beta 126.99
_cell_angle_gamma 60.75
_space_group_name_H-M_alt 'P 1'
_space_group_IT_number 1
_space_group_name_Hall 'P 1'
loop_
_atom_site_label
_atom_site_type_symbol
_atom_site_fract_x
_atom_site_fract_y
_atom_site_fract_z
_atom_site_occupancy
Nd1 Nd 0.000 0.000 0.000 1
Nd2 Nd 0.385 0.885 0.500 1
Nd3 Nd 0.615 0.115 0.500 1
Tm1 Tm 0.028 0.330 0.699 1
Tm2 Tm 0.369 0.670 0.699 1
Tm3 Tm 0.631 0.330 0.301 1
Tm4 Tm 0.972 0.670 0.301 1
Tl1 Tl 0.230 0.230 0.000 1
Tl2 Tl 0.305 0.500 0.805 1
Tl3 Tl 0.695 0.500 0.195 1
Tl4 Tl 0.770 0.770 0.000 1
# Volume (Å³ per atom): 30.7
# Space group: Immm, No. 71
# Formation enthalpy at 0 K (eV/atom): -0.204
# Crystal system: orthorhombic



> Which of these has the lowest volume?

NdTm5Tl6



Copy entry 4 word for word.
# PBE Nd4Tm3Tl2, optimized geometry
data_Nd4Tm3Tl2
_cell_length_a 9.497
_cell_length_b 9.497
_cell_length_c 6.654
_cell_angle_alpha 103.75
_cell_angle_beta 103.75
_cell_angle_gamma 83.89
_space_group_name_H-M_alt 'P 1'
_space_group_IT_number 1
_space_group_name_Hall 'P 1'
loop_
_atom_site_label
_atom_site_type_symbol
_atom_site_fract_x
_atom_site_fract_y
_atom_site_fract_z
_atom_site_occupancy
Nd1 Nd 0.123 0.490 0.330 1
Nd2 Nd 0.167 0.723 0.976 1
Nd3 Nd 0.277 0.833 0.524 1
Nd4 Nd 0.490 0.123 0.830 1
Nd5 Nd 0.510 0.877 0.170 1
Nd6 Nd 0.723 0.167 0.476 1
Nd7 Nd 0.833 0.277 0.024 1
Nd8 Nd 0.877 0.510 0.670 1
Tm1 Tm 0.086 0.154 0.447 1
Tm2 Tm 0.154 0.086 0.947 1
Tm3 Tm 0.492 0.508 0.250 1
Tm4 Tm 0.508 0.492 0.750 1
Tm5 Tm 0.846 0.914 0.053 1
Tm6 Tm 0.914 0.846 0.553 1
Tl1 Tl 0.221 0.381 0.849 1
Tl2 Tl 0.381 0.221 0.349 1
Tl3 Tl 0.619 0.779 0.651 1
Tl4 Tl 0.779 0.619 0.151 1
# Volume (Å³ per atom): 31.4
# Space group: C2/c, No. 15
# Formation enthalpy at 0 K (eV/atom): -0.100
# Crystal system: monoclinic